Entry 1:
{"formula": "Y3TlCd", "functional": "PBE", "state": "relaxed", "cell": [[5.066, 0.000, 1.158], [0.000, 5.191, 0.000], [0.197, 0.000, 10.801]], "species": ["Y", "Y", "Y", "Y", "Y", "Y", "Tl", "Tl", "Cd", "Cd"], "frac_coords": [[0.764, 0.250, 0.121], [0.383, 0.250, 0.882], [0.574, 0.250, 0.500], [0.265, 0.750, 0.118], [0.885, 0.750, 0.879], [0.074, 0.750, 0.500], [0.668, 0.750, 0.312], [0.980, 0.250, 0.688], [0.478, 0.750, 0.692], [0.170, 0.250, 0.308]], "e_above_lowest_polymorph_mev_per_atom": 0, "spacegroup": "Cmcm", "magmom_total_mub_per_fu": 0.66}


Entry 2:
{"formula": "YTl2Cd", "functional": "PBE", "state": "relaxed", "cell": [[5.848, 0.034, -0.025], [2.058, 5.474, 0.025], [-3.936, -2.780, 3.315]], "species": ["Cd", "Tl", "Tl", "Y"], "frac_coords": [[0.750, 0.250, 0.500], [0.000, 0.000, 0.000], [0.500, 0.500, 0.000], [0.250, 0.750, 0.500]], "e_above_lowest_polymorph_mev_per_atom": 106, "spacegroup": "I4/mmm", "magmom_total_mub_per_fu": 0.00}


Entry 3:
{"formula": "Y2TlCd16", "functional": "PBE", "state": "relaxed", "cell": [[-3.051, 6.859, 1.638], [-7.279, -2.364, 0.678], [-0.008, -0.792, 7.642]], "species": ["Y", "Y", "Tl", "Cd", "Cd", "Cd", "Cd", "Cd", "Cd", "Cd", "Cd", "Cd", "Cd", "Cd", "Cd", "Cd", "Cd", "Cd", "Cd"], "frac_coords": [[0.673, 0.673, 0.673], [0.333, 0.333, 0.333], [0.898, 0.898, 0.898], [0.691, 0.996, 0.314], [0.996, 0.314, 0.691], [0.314, 0.691, 0.996], [0.996, 0.691, 0.314], [0.691, 0.314, 0.996], [0.314, 0.996, 0.691], [0.373, 0.787, 0.373], [0.787, 0.373, 0.373], [0.373, 0.373, 0.787], [0.656, 0.134, 0.656], [0.134, 0.656, 0.656], [0.656, 0.656, 0.134], [0.025, 0.471, 0.025], [0.471, 0.025, 0.025], [0.025, 0.025, 0.471], [0.095, 0.095, 0.095]], "spacegroup": "R3m", "magmom_total_mub_per_fu": 0.00}


Entry 4:
{"formula": "YTl2Cd", "functional": "PBE", "state": "relaxed", "cell": [[3.759, 0.000, 0.000], [0.000, 3.908, 0.000], [0.000, 0.000, 7.276]], "species": ["Cd", "Tl", "Tl", "Y"], "frac_coords": [[0.500, 0.500, 0.750], [0.000, 0.000, 0.986], [0.000, 0.000, 0.514], [0.500, 0.500, 0.250]], "e_above_lowest_polymorph_mev_per_atom": 150, "spacegroup": "Pmmm", "magmom_total_mub_per_fu": 0.18}


Entry 5:
{"formula": "YTl2Cd", "functional": "PBE", "state": "relaxed", "cell": [[10.645, 0.021, 0.012], [10.043, 3.530, 0.012], [10.043, 1.723, 3.080]], "species": ["Cd", "Tl", "Tl", "Y"], "frac_coords": [[0.751, 0.751, 0.751], [0.002, 0.002, 0.002], [0.248, 0.248, 0.248], [0.498, 0.498, 0.498]], "e_above_lowest_polymorph_mev_per_atom": 193, "spacegroup": "R3m", "magmom_total_mub_per_fu": 0.00}


Entry 6:
{"formula": "Y2TlCd2", "functional": "PBE", "state": "relaxed", "cell": [[8.575, 0.000, 0.000], [0.000, 8.575, 0.000], [0.000, 0.000, 3.852]], "species": ["Y", "Y", "Y", "Y", "Tl", "Tl", "Cd", "Cd", "Cd", "Cd"], "frac_coords": [[0.342, 0.842, 0.000], [0.842, 0.658, 0.000], [0.658, 0.158, 0.000], [0.158, 0.342, 0.000], [0.000, 0.000, 0.000], [0.500, 0.500, 0.000], [0.138, 0.638, 0.500], [0.638, 0.862, 0.500], [0.862, 0.362, 0.500], [0.362, 0.138, 0.500]], "e_above_lowest_polymorph_mev_per_atom": 137, "spacegroup": "P4/mbm", "magmom_total_mub_per_fu": 0.00}


Entry 7:
{"formula": "YTlCd", "functional": "PBE", "state": "relaxed", "cell": [[4.956, 0.000, 0.000], [-2.478, 4.292, 0.000], [0.000, 0.000, 3.653]], "species": ["Y", "Tl", "Cd"], "frac_coords": [[0.333, 0.667, 0.659], [0.667, 0.333, 0.229], [0.000, 0.000, 0.113]], "spacegroup": "P3m1", "magmom_total_mub_per_fu": 0.00}


Entry 8:
{"formula": "Y3TlCd", "functional": "PBE", "state": "relaxed", "cell": [[-0.536, 3.451, -4.411], [-2.140, -4.221, -3.042], [-5.175, 1.388, 1.715]], "species": ["Y", "Y", "Y", "Tl", "Cd"], "frac_coords": [[0.000, 0.500, 0.000], [0.000, 0.000, 0.500], [0.500, 0.000, 0.000], [0.500, 0.500, 0.500], [0.000, 0.000, 0.000]], "e_above_lowest_polymorph_mev_per_atom": 594, "spacegroup": "Pm-3m", "magmom_total_mub_per_fu": 0.00}


| no. | formation energy (eV/atom) |
| --- | --- |
| 1 | -0.29 |
| 2 | -0.15 |
| 3 | -0.09 |
| 4 | -0.11 |
| 5 | -0.06 |
| 6 | -0.14 |
| 7 | -0.28 |
| 8 | 0.30 |